1.
6
Lattice="0.0000 3.1138 3.1138 3.1138 0.0000 3.1138 3.1138 3.1138 0.0000" Properties=species:S:1:pos:R:3 comment="TaBe5 (PBE, relaxed)" dos_at_fermi_per_ev_fu=3.6 total_energy_ev_per_atom=-4.941 pbc="T T T"
Ta 0.0000 0.0000 0.0000
Be 1.5569 1.5569 1.5569
Be 3.9074 3.9074 3.9074
Be 2.3202 2.3202 3.9074
Be 3.9074 2.3202 2.3202
Be 2.3202 3.9074 2.3202

=====

2.
6
Lattice="1.4970 4.9257 -0.0009 -1.4970 4.9257 -0.0009 0.0000 1.7040 5.5613" Properties=species:S:1:pos:R:3 comment="TaBe (PBE, relaxed)" dos_at_fermi_per_ev_fu=0.8 polymorph_energy_kj_per_mol_fu=48.8 total_energy_ev_per_atom=-7.722 pbc="T T T"
Ta 0.0000 3.6243 2.1573
Ta 0.0000 0.9452 2.9811
Ta 0.0000 4.5408 5.0025
Be 0.0000 9.8142 0.2663
Be 0.0000 7.4284 4.3684
Be 0.0000 6.3877 0.9767

=====

3.
18
Lattice="-0.2944 2.6817 6.8020 -0.2139 -7.2320 -1.0940 5.0325 -0.1933 0.2941" Properties=species:S:1:pos:R:3 comment="Ta4Be5 (PBE, relaxed)" dos_at_fermi_per_ev_fu=2.7 polymorph_energy_kj_per_mol_fu=0.0 total_energy_ev_per_atom=-7.301 pbc="T T T"
Be 1.1105 -5.0415 -0.6818
Be 1.1008 -1.4570 1.8405
Be 1.0548 1.8032 4.7698
Be 3.7081 -2.3838 -0.1181
Be 3.4234 -3.2867 4.1615
Be 3.6832 0.6852 2.3262
Be -0.2676 -0.6229 4.1700
Be 2.2755 -4.0241 1.6850
Be -0.2407 -3.9275 1.5380
Be 2.2487 -0.7196 4.3170
Ta 0.0000 0.0000 0.0000
Ta 2.5162 -0.0967 0.1470
Ta 1.1804 -2.6752 -0.3239
Ta 0.9344 -2.9459 3.7081
Ta 1.1512 0.9257 2.5442
Ta 3.6382 -4.7501 -0.4761
Ta 3.5897 -1.7978 2.2938
Ta 3.5869 1.5626 4.5518

=====

4.
6
Lattice="-1.7449 2.5710 4.5164 1.7449 -2.5710 4.5164 1.7449 2.5710 -4.5164" Properties=species:S:1:pos:R:3 comment="TaBe (PBE, relaxed)" dos_at_fermi_per_ev_fu=1.0 polymorph_energy_kj_per_mol_fu=43.6 total_energy_ev_per_atom=-7.750 pbc="T T T"
Ta 0.0000 1.4423 2.7277
Ta 0.0000 2.7858 0.0000
Ta 0.0000 1.4423 6.3051
Be 0.0000 0.2206 0.0000
Be 1.7449 1.3389 1.0231
Be 1.7449 1.3389 -1.0231